Record 1
DFT (PBE) results for a relaxed Sm6Y2TmTh crystal.

The structure in CIF format:
```
data_Sm6Y2TmTh
_chemical_formula_sum 'Sm24 Y8 Tm4 Th4'
_cell_length_a 9.481
_cell_length_b 15.051
_cell_length_c 9.399
_cell_angle_alpha 90.00
_cell_angle_beta 94.71
_cell_angle_gamma 90.00
_symmetry_space_group_name_H-M 'C 1 2/c 1'
_symmetry_Int_Tables_number 15
loop_
_symmetry_equiv_pos_as_xyz
'x,y,z'
'-x,-y,-z'
'-x,y,-z+1/2'
'x,-y,z+1/2'
'x+1/2,y+1/2,z'
'-x+1/2,-y+1/2,-z'
'-x+1/2,y+1/2,-z+1/2'
'x+1/2,-y+1/2,z+1/2'
loop_
_atom_site_label
_atom_site_type_symbol
_atom_site_fract_x
_atom_site_fract_y
_atom_site_fract_z
_atom_site_occupancy
Sm1 Sm 0.057 0.173 0.439 1
Sm2 Sm 0.093 0.384 0.612 1
Sm3 Sm 0.212 0.217 0.808 1
Y1 Y 0.246 0.452 0.945 1
Tm1 Tm 0.000 0.413 0.250 1
Th1 Th 0.000 0.034 0.750 1
```

Output
Total magnetization   0.000 μB/atom
Calculated formation energy   14.5 kJ/mol of atoms
Calculated density   7.359 g/cm3
E   -5.163 eV/atom

***

Record 2
DFT (PBE) results for a relaxed AcGa2Si2 crystal.

The structure in CIF format:
```
data_AcGa2Si2
_chemical_formula_sum 'Ac2 Ga4 Si4'
_cell_length_a 6.707
_cell_length_b 6.348
_cell_length_c 5.715
_cell_angle_alpha 90.00
_cell_angle_beta 118.58
_cell_angle_gamma 90.00
_symmetry_space_group_name_H-M 'C 1 2/m 1'
_symmetry_Int_Tables_number 12
loop_
_symmetry_equiv_pos_as_xyz
'x,y,z'
'-x,-y,-z'
'-x,y,-z'
'x,-y,z'
'x+1/2,y+1/2,z'
'-x+1/2,-y+1/2,-z'
'-x+1/2,y+1/2,-z'
'x+1/2,-y+1/2,z'
loop_
_atom_site_label
_atom_site_type_symbol
_atom_site_fract_x
_atom_site_fract_y
_atom_site_fract_z
_atom_site_occupancy
Ac1 Ac 0.000 0.000 0.000 1
Ga1 Ga 0.000 0.262 0.500 1
Si1 Si 0.141 0.500 0.247 1
```

Output
Total magnetization   0.000 μB/atom
Formation energy (no corrections)   -0.30 eV per atom
Calculated density   6.569 g/cm3
E   -4.499 eV/atom

***

Record 3
DFT (PBE) results for a relaxed ZnTcNi2 crystal.

The structure in CIF format:
```
data_ZnTcNi2
_chemical_formula_sum 'Zn2 Tc2 Ni4'
_cell_length_a 3.718
_cell_length_b 3.718
_cell_length_c 7.257
_cell_angle_alpha 90.00
_cell_angle_beta 90.00
_cell_angle_gamma 90.00
_symmetry_space_group_name_H-M 'I -4 m 2'
_symmetry_Int_Tables_number 119
_symmetry_space_group_name_Hall 'I -4 -2'
loop_
_atom_site_label
_atom_site_type_symbol
_atom_site_fract_x
_atom_site_fract_y
_atom_site_fract_z
_atom_site_occupancy
Zn1 Zn 0.000 0.000 0.000 1
Tc1 Tc 0.000 0.500 0.250 1
Ni1 Ni 0.000 0.000 0.500 1
Ni2 Ni 0.000 0.500 0.750 1
```

Output
Total magnetization   0.314 μB/atom
Calculated formation energy   9.5 kJ/mol of atoms
Calculated density   9.295 g/cm3
E   -5.702 eV/atom

***

Record 4
DFT (PBE) results for a relaxed SrIrAu2 crystal.

The structure in CIF format:
```
data_SrIrAu2
_chemical_formula_sum 'Sr1 Ir1 Au2'
_cell_length_a 4.317
_cell_length_b 4.559
_cell_length_c 5.257
_cell_angle_alpha 90.00
_cell_angle_beta 93.17
_cell_angle_gamma 90.00
_symmetry_space_group_name_H-M 'P 1 m 1'
_symmetry_Int_Tables_number 6
loop_
_symmetry_equiv_pos_as_xyz
'x,y,z'
'x,-y,z'
loop_
_atom_site_label
_atom_site_type_symbol
_atom_site_fract_x
_atom_site_fract_y
_atom_site_fract_z
_atom_site_occupancy
Sr1 Sr 0.000 0.000 0.000 1
Ir1 Ir 0.470 0.500 0.769 1
Au1 Au 0.487 0.000 0.540 1
Au2 Au 0.543 0.500 0.260 1
```

Output
Total magnetization   0.000 μB/atom
Calculated formation energy   -4.7 kJ/mol of atoms
Calculated density   10.829 g/cm3
E   -4.323 eV/atom
Polymorph energy (0 for the lowest one)   0.152 eV/atom

***

Record 5
DFT (PBE) results for a relaxed KYP2 crystal.

The structure in CIF format:
```
data_KYP2
_chemical_formula_sum 'K4 Y4 P8'
_cell_length_a 7.039
_cell_length_b 7.039
_cell_length_c 7.039
_cell_angle_alpha 90.00
_cell_angle_beta 90.00
_cell_angle_gamma 90.00
_symmetry_space_group_name_H-M 'F -4 3 m'
_symmetry_Int_Tables_number 216
_symmetry_space_group_name_Hall 'F -4 2 3'
loop_
_atom_site_label
_atom_site_type_symbol
_atom_site_fract_x
_atom_site_fract_y
_atom_site_fract_z
_atom_site_occupancy
K1 K 0.000 0.000 0.000 1
Y1 Y 0.250 0.250 0.250 1
P1 P 0.000 0.000 0.500 1
P2 P 0.250 0.250 0.750 1
```

Output
Total magnetization   0.000 μB/atom
Calculated formation energy   18.1 kJ/mol of atoms
Calculated density   3.618 g/cm3
E   -4.407 eV/atom
Polymorph energy (0 for the lowest one)   0.996 eV/atom

***

Record 6
DFT (PBE) results for a relaxed AgAsOsF2 crystal.

The structure in CIF format:
```
data_AgAsOsF2
_chemical_formula_sum 'Ag1 As1 Os1 F2'
_cell_length_a 3.950
_cell_length_b 3.950
_cell_length_c 6.110
_cell_angle_alpha 90.00
_cell_angle_beta 90.00
_cell_angle_gamma 90.00
_symmetry_space_group_name_H-M 'P 4/m m m'
_symmetry_Int_Tables_number 123
_symmetry_space_group_name_Hall '-P 4 2'
loop_
_atom_site_label
_atom_site_type_symbol
_atom_site_fract_x
_atom_site_fract_y
_atom_site_fract_z
_atom_site_occupancy
Ag1 Ag 0.000 0.000 0.000 1
As1 As 0.000 0.000 0.500 1
Os1 Os 0.500 0.500 0.500 1
F1 F 0.000 0.500 0.000 1
```

Output
Total magnetization   0.464 μB/atom
Formation energy (no corrections)   0.33 eV per atom
Calculated density   7.161 g/cm3
E   -4.168 eV/atom